[1]
## RuPb2Se (PBEsol)

Data for a relaxed RuPb2Se crystal.

The structure in extended XYZ format:
```
4
Lattice="-1.637 2.510 -1.277 -2.215 -2.610 -2.290 -2.730 -0.422 6.825" Properties=species:S:1:pos:R:3 pbc="T T T"
Se -0.818 1.255 -0.638
Pb -3.067 -0.311 3.321
Pb -3.515 -0.212 -0.063
Ru -1.107 -1.305 -1.145
```

Results
- DOS(E_F) (states/eV/f.u.) = 2.97
- E_form (uncorrected) (eV/atom) = 0.21
- energy (eV/atom) = -5.291
- space-group type = No. 71

[2]
## SnS2O8 (PBEsol)

Data for a relaxed SnS2O8 crystal.

The structure in extended XYZ format:
```
88
Lattice="9.086 0.000 0.000 0.000 9.355 0.000 0.000 0.000 13.412" Properties=species:S:1:pos:R:3 pbc="T T T"
S 5.130 3.918 9.675
S 7.382 1.467 13.235
S 7.382 6.144 6.884
S 1.705 7.888 0.178
S 6.248 1.467 6.528
S 8.499 3.918 2.969
S 5.130 8.596 10.444
S 8.499 8.596 3.737
S 2.839 3.210 13.235
S 2.839 7.888 6.884
S 0.587 0.759 9.675
S 3.956 0.759 2.969
S 3.956 5.436 3.737
S 0.587 5.436 10.444
S 1.705 3.210 6.528
S 6.248 6.144 0.178
O 4.327 0.219 4.333
O 6.939 6.865 8.024
O 8.825 6.467 6.574
O 4.624 2.490 9.717
O 2.084 7.607 5.602
O 6.627 1.748 1.105
O 2.713 4.709 13.103
O 2.396 7.167 8.024
O 2.084 2.929 1.105
O 0.262 2.888 6.838
O 2.713 0.032 7.015
O 8.974 0.000 4.840
O 6.988 3.828 3.071
O 2.459 7.607 12.308
O 7.002 6.425 12.308
O 2.098 5.526 10.342
O 7.002 1.748 7.811
O 0.113 4.677 11.546
O 2.459 2.929 7.811
O 1.830 0.032 0.309
O 0.080 6.865 10.401
O 2.098 0.849 9.777
O 2.148 2.490 5.388
O 4.463 2.188 3.011
O 2.445 0.849 3.071
O 0.113 9.354 8.573
O 2.396 2.490 12.094
O 4.431 9.354 1.867
O 2.445 5.526 3.636
O 2.148 7.167 1.318
O 4.431 4.677 4.840
O 0.080 2.188 9.717
O 4.463 6.865 3.695
O 1.830 4.709 6.397
O 6.642 8.506 10.342
O 6.627 6.425 5.602
O 0.262 7.565 13.281
O 0.217 4.897 9.079
O 6.691 2.188 5.388
O 4.805 1.789 6.838
O 4.760 9.135 9.079
O 6.373 9.323 6.397
O 4.805 6.467 13.281
O 6.939 2.188 12.094
O 4.282 7.565 6.574
O 4.624 7.167 10.401
O 8.825 1.789 0.132
O 9.006 2.490 3.011
O 8.974 4.678 1.867
O 7.256 9.323 13.103
O 4.656 0.000 11.546
O 7.256 4.646 7.015
O 4.282 2.888 0.132
O 6.691 6.865 1.318
O 9.006 7.167 3.695
O 4.656 4.678 8.573
O 4.327 4.897 2.373
O 6.988 8.506 3.636
O 8.870 4.458 4.333
O 8.870 9.135 2.373
O 0.217 0.219 11.040
O 6.373 4.646 0.309
O 6.642 3.828 9.777
O 4.760 4.458 11.040
Sn 3.565 5.990 11.707
Sn 5.521 8.042 5.001
Sn 0.978 5.990 5.001
Sn 3.565 1.312 8.412
Sn 8.108 8.042 11.707
Sn 5.521 3.365 1.706
Sn 8.108 3.365 8.412
Sn 0.978 1.312 1.706
```

Results
- DOS(E_F) (states/eV/f.u.) = 0.00
- E_form (uncorrected) (eV/atom) = -1.36
- energy (eV/atom) = -6.365
- space-group type = No. 61

[3]
## KTlCl2 (PBEsol)

Data for a relaxed KTlCl2 crystal.

The structure in extended XYZ format:
```
4
Lattice="-2.576 -1.283 2.387 2.643 -0.462 2.604 -1.202 6.991 2.461" Properties=species:S:1:pos:R:3 pbc="T T T"
Tl 0.034 -0.873 2.496
Cl -0.895 5.203 1.831
Cl -0.307 1.788 0.629
K -0.567 2.623 3.726
```

Results
- DOS(E_F) (states/eV/f.u.) = 0.00
- E_form (uncorrected) (eV/atom) = -1.40
- energy (eV/atom) = -3.345
- space-group type = No. 123